Entry 1:
Below is an optimized crystal structure of MgAg4Sb, with properties calculated at the GGA-PBEsol level.

Properties
E_form (uncorrected) in eV per atom: -0.042

a b c (Å): 5.4702 5.4702 5.4702
angles (deg): 60.00 60.00 60.00
With the nearest neighbours (Å) after each atom.
Element x y z (fractional)
Mg (0.0000, 0.0000, 0.0000)  12 Ag 3.21, 4 Sb 3.35
Ag (0.1237, 0.6254, 0.6254)  6 Ag 2.73-2.74
Ag (0.6254, 0.1237, 0.6254)  6 Ag 2.73-2.74
Ag (0.6254, 0.6254, 0.1237)  6 Ag 2.73-2.74
Ag (0.6254, 0.6254, 0.6254)  6 Ag 2.73-2.74
Sb (0.2500, 0.2500, 0.2500)  12 Ag 3.21, 4 Mg 3.35

Entry 2:
Below is an optimized crystal structure of AlAsI3, with properties calculated at the GGA-PBEsol level.

Properties
E_form (uncorrected) in eV per atom: 0.322

a b c (Å): 5.5199 5.5199 5.5199
angles (deg): 90.00 90.00 90.00
With the nearest neighbours (Å) after each atom.
Element x y z (fractional)
Al (0.0000, 0.0000, 0.0000)  6 I 2.76
As (0.5000, 0.5000, 0.5000)  12 I 3.90
I (0.0000, 0.0000, 0.5000)  2 Al 2.76
I (0.0000, 0.5000, 0.0000)  2 Al 2.76
I (0.5000, 0.0000, 0.0000)  2 Al 2.76

Entry 3:
Below is an optimized crystal structure of TcBiClF2, with properties calculated at the GGA-PBEsol level.

Properties
E_form (uncorrected) in eV per atom: 0.055

a b c (Å): 4.5239 4.5239 4.2928
angles (deg): 90.00 90.00 90.00
With the nearest neighbours (Å) after each atom.
Element x y z (fractional)
Tc (0.0000, 0.0000, 0.0000)  2 Cl 2.15
Bi (0.5000, 0.5000, 0.0000)  8 F 3.12, 4 Tc 3.20
Cl (0.0000, 0.0000, 0.5000)  2 Tc 2.15, 4 F 2.26
F (0.0000, 0.5000, 0.5000)  2 Cl 2.26
F (0.5000, 0.0000, 0.5000)  2 Cl 2.26

Entry 4:
Below is an optimized crystal structure of LiOs4, with properties calculated at the GGA-PBEsol level.

Properties
DFT formation energy in eV/atom: 0.321

a b c (Å): 4.6305 4.6305 4.6305
angles (deg): 99.59 99.59 131.81
With the nearest neighbours (Å) after each atom.
Element x y z (fractional)
Li (0.0000, 0.0000, 0.0000)  12 Os 2.64-2.74
Os (0.2042, 0.5901, 0.7943)  9 Os 2.61-2.74, 3 Li 2.64-2.74
Os (0.4099, 0.2042, 0.6141)  9 Os 2.61-2.74, 3 Li 2.64-2.74
Os (0.5901, 0.7958, 0.3859)  9 Os 2.61-2.74, 3 Li 2.64-2.74
Os (0.7958, 0.4099, 0.2057)  9 Os 2.61-2.74, 3 Li 2.64-2.74

Entry 5:
Below is an optimized crystal structure of TbAs, with properties calculated at the GGA-PBEsol level.

Properties
DFT formation energy in eV/atom: -1.556

a b c (Å): 4.0775 4.0775 4.0775
angles (deg): 60.00 60.00 60.00
With the nearest neighbours (Å) after each atom.
Element x y z (fractional)
Tb (0.0000, 0.0000, 0.0000)  6 As 2.88
As (0.5000, 0.5000, 0.5000)  6 Tb 2.88

Entry 6:
Below is an optimized crystal structure of Y2SiP, with properties calculated at the GGA-PBEsol level.

Properties
E_form (uncorrected) in eV per atom: -0.856

a b c (Å): 3.3898 3.3898 7.4342
angles (deg): 90.00 90.00 100.30
With the nearest neighbours (Å) after each atom.
Element x y z (fractional)
Y (0.0000, 0.0000, 0.2364)  2 P 2.79, 2 Si 2.93
Y (0.0000, 0.0000, 0.7636)  2 P 2.79, 2 Si 2.93
Si (0.5000, 0.5000, 0.5000)  8 Y 2.93-3.26
P (0.5000, 0.5000, 0.0000)  4 Y 2.79

| no. | DFT total energy (eV/atom) |
| --- | --- |
| 1 | -3.30 |
| 2 | -2.58 |
| 3 | -4.23 |
| 4 | -9.84 |
| 5 | -6.61 |
| 6 | -7.15 |